[1]
Ac5Tl2Pb5 | PBE | relaxed

Results
- total DFT energy (no corrections) (eV per cell) = -48.9
- calculated formation energy (eV/f.u.) = -5.06

Cell lengths 5.0301, 9.1982, 10.0840 Å; angles 90.59, 75.56, 74.13 degrees
Element x y z (fractional)
Ac (0.0000, 0.5000, 0.5000)
Ac (0.6890, 0.7070, 0.9149)
Ac (0.3744, 0.9246, 0.3265)
Ac (0.6256, 0.0754, 0.6735)
Ac (0.3110, 0.2930, 0.0851)
Tl (0.4088, 0.4618, 0.7205)
Tl (0.5912, 0.5382, 0.2795)
Pb (0.7323, 0.1982, 0.3372)
Pb (0.9252, 0.3110, 0.8385)
Pb (0.0748, 0.6890, 0.1615)
Pb (0.2677, 0.8018, 0.6628)
Pb (0.0000, 0.0000, 0.0000)

[2]
CdFeIr3 | PBE | relaxed

Results
- total DFT energy (no corrections) (eV per cell) = -29.8
- E above lowest polymorph (eV/atom) = 0.000
- calculated formation energy (eV/f.u.) = 6.13

Cell lengths 4.5194, 4.5194, 4.5194 Å; angles 90.00, 90.00, 90.00 degrees
Site moments in Bohr magnetons follow the coordinates.
Element x y z (fractional)
Ir (0.0000, 0.5000, 0.0000)  0.56
Ir (0.0000, 0.0000, 0.5000)  0.86
Ir (0.5000, 0.0000, 0.0000)  0.34
Fe (0.0000, 0.0000, 0.0000)  2.25
Cd (0.5000, 0.5000, 0.5000)  0.01

[3]
Tb2MnSiPt6 | PBE | relaxed

Results
- total DFT energy (no corrections) (eV per cell) = -68.1
- formation energy without anion corrections (eV/atom) = -0.800

Cell lengths 5.5932, 8.0807, 8.0809 Å; angles 40.50, 69.75, 90.00 degrees
Site moments in Bohr magnetons follow the coordinates.
Element x y z (fractional)
Tb (0.7037, 0.2963, 0.5926)  -0.07
Tb (0.2963, 0.7037, 0.4074)  -0.07
Mn (0.0000, 0.0000, 0.0000)  3.50
Si (0.5000, 0.5000, 0.0000)  0.01
Pt (0.2530, 0.2398, 0.4941)  0.08
Pt (0.7602, 0.7470, 0.9869)  0.08
Pt (0.2530, 0.7470, 0.9870)  0.08
Pt (0.7470, 0.2530, 0.0130)  0.08
Pt (0.2398, 0.2530, 0.0131)  0.08
Pt (0.7470, 0.7602, 0.5059)  0.08

[4]
Ba3PuAl2O9 | PBE | relaxed

Results
- total DFT energy (no corrections) (eV per cell) = -114.3
- formation energy without anion corrections (eV/atom) = -2.803

Cell lengths 5.7344, 5.7344, 7.0964 Å; angles 90.00, 90.00, 120.00 degrees
Site moments in Bohr magnetons follow the coordinates.
Element x y z (fractional)
Ba (0.3333, 0.6667, 0.6809)  0.01
Ba (0.0000, 0.0000, 0.0000)  0.00
Ba (0.6667, 0.3333, 0.3191)  0.01
Pu (0.0000, 0.0000, 0.5000)  2.50
Al (0.3333, 0.6667, 0.1384)  0.00
Al (0.6667, 0.3333, 0.8616)  0.00
O (0.8289, 0.1711, 0.6722)  -0.07
O (0.8289, 0.6578, 0.6722)  -0.07
O (0.3422, 0.1711, 0.6722)  -0.07
O (0.6578, 0.8289, 0.3278)  -0.07
O (0.1711, 0.3422, 0.3278)  -0.07
O (0.1711, 0.8289, 0.3278)  -0.07
O (0.5000, 0.0000, 0.0000)  -0.02
O (0.0000, 0.5000, 0.0000)  -0.02
O (0.5000, 0.5000, 0.0000)  -0.02

[5]
Hf2ZrO | PBE | relaxed

Results
- total DFT energy (no corrections) (eV per cell) = -155.4
- formation energy without anion corrections (eV/atom) = -1.357

Cell lengths 5.1668, 5.5650, 9.8293 Å; angles 89.99, 90.00, 90.00 degrees
Element x y z (fractional)
Hf (0.7598, 0.9240, 0.9182)
Hf (0.2402, 0.0760, 0.0818)
Hf (0.2598, 0.5760, 0.5818)
Hf (0.7402, 0.4240, 0.4182)
Hf (0.7597, 0.4240, 0.0819)
Hf (0.2403, 0.5760, 0.9181)
Hf (0.2597, 0.0760, 0.4181)
Hf (0.7403, 0.9240, 0.5819)
Zr (0.2499, 0.5837, 0.2500)
Zr (0.7501, 0.4163, 0.7500)
Zr (0.7499, 0.9163, 0.2500)
Zr (0.2501, 0.0837, 0.7500)
O (0.0000, 0.2500, 0.5763)
O (0.0000, 0.7500, 0.4237)
O (0.5000, 0.2500, 0.9237)
O (0.5000, 0.7500, 0.0763)

[6]
La3DyN | PBE | relaxed

Results
- total DFT energy (no corrections) (eV per cell) = -30.2
- formation energy without anion corrections (eV/atom) = -0.492

Cell lengths 5.2177, 5.2177, 5.2177 Å; angles 90.00, 90.00, 90.00 degrees
Element x y z (fractional)
N (0.0000, 0.0000, 0.0000)
La (0.0000, 0.5000, 0.0000)
La (0.0000, 0.0000, 0.5000)
La (0.5000, 0.0000, 0.0000)
Dy (0.5000, 0.5000, 0.5000)

[7]
MgAlTe2 | PBE | relaxed

Results
- total DFT energy (no corrections) (eV per cell) = -12.9
- formation energy without anion corrections (eV/atom) = -0.309

Cell lengths 7.4898, 7.4898, 7.4898 Å; angles 150.13, 149.54, 43.18 degrees
Element x y z (fractional)
Al (0.5426, 0.5426, 0.0000)
Mg (0.2907, 0.7907, 0.5000)
Te (0.9614, 0.9614, 0.0000)
Te (0.7053, 0.2053, 0.5000)

[8]
PrTc3Ge3 | PBE | relaxed

Results
- total DFT energy (no corrections) (eV per cell) = -100.7
- E above lowest polymorph (eV/atom) = 0.000
- calculated formation energy (eV/f.u.) = -0.61

Cell lengths 6.4214, 6.4214, 8.5371 Å; angles 67.91, 67.91, 60.00 degrees
Element x y z (fractional)
Pr (0.3213, 0.3213, 0.0360)
Pr (0.6787, 0.6787, 0.9640)
Tc (0.5638, 0.7829, 0.5866)
Tc (0.7829, 0.0667, 0.5866)
Tc (0.0667, 0.5638, 0.5866)
Tc (0.9333, 0.4362, 0.4134)
Tc (0.2171, 0.9333, 0.4134)
Tc (0.4362, 0.2171, 0.4134)
Ge (0.1977, 0.6960, 0.2405)
Ge (0.8659, 0.1977, 0.2405)
Ge (0.6960, 0.8659, 0.2405)
Ge (0.3040, 0.1341, 0.7595)
Ge (0.1341, 0.8023, 0.7595)
Ge (0.8023, 0.3040, 0.7595)

[9]
Zn2Ag2Au | PBE | relaxed

Results
- total DFT energy (no corrections) (eV per cell) = -24.0
- E above lowest polymorph (eV/atom) = 0.000
- calculated formation energy (eV/f.u.) = -0.46

Cell lengths 4.3656, 5.2494, 8.7670 Å; angles 101.47, 75.58, 65.43 degrees
Element x y z (fractional)
Zn (0.0827, 0.2730, 0.5617)
Zn (0.6914, 0.7627, 0.8545)
Zn (0.9173, 0.7270, 0.4383)
Zn (0.3086, 0.2373, 0.1455)
Ag (0.7015, 0.2499, 0.3470)
Ag (0.8825, 0.2729, 0.9620)
Ag (0.2985, 0.7501, 0.6530)
Ag (0.1175, 0.7271, 0.0380)
Au (0.5343, 0.2052, 0.7261)
Au (0.4657, 0.7948, 0.2739)

[10]
PrDyCuSn | PBE | relaxed

Results
- total DFT energy (no corrections) (eV per cell) = -19.1
- calculated formation energy (eV/f.u.) = -1.64

Cell lengths 5.2557, 5.2557, 5.2557 Å; angles 60.00, 60.00, 60.00 degrees
Element x y z (fractional)
Pr (0.7500, 0.7500, 0.7500)
Sn (0.0000, 0.0000, 0.0000)
Cu (0.5000, 0.5000, 0.5000)
Dy (0.2500, 0.2500, 0.2500)

[11]
BaHfAg | PBE | relaxed

Results
- total DFT energy (no corrections) (eV per cell) = -28.9
- calculated formation energy (eV/f.u.) = 0.30

Cell lengths 3.5115, 3.5115, 13.8720 Å; angles 90.00, 90.00, 90.00 degrees
Element x y z (fractional)
Hf (0.5000, 0.5000, 0.4186)
Hf (0.0000, 0.0000, 0.2867)
Ba (0.0000, 0.0000, 0.9907)
Ba (0.0000, 0.0000, 0.6389)
Ag (0.5000, 0.5000, 0.1728)
Ag (0.5000, 0.5000, 0.8158)

[12]
Zn2AsPb | PBE | relaxed

Results
- total DFT energy (no corrections) (eV per cell) = -10.6
- calculated formation energy (eV/f.u.) = 0.29

Cell lengths 3.9522, 3.9527, 5.7628 Å; angles 90.05, 90.00, 90.00 degrees
Element x y z (fractional)
As (0.0000, 0.3752, 0.4441)
Pb (0.5000, 0.8750, 0.7380)
Zn (0.0000, 0.8748, 0.1590)
Zn (0.5000, 0.3750, 0.1589)

[13]
Er2NpSe | PBE | relaxed

Results
- total DFT energy (no corrections) (eV per cell) = -26.3
- formation energy without anion corrections (eV/atom) = -0.196

Cell lengths 3.5932, 3.5932, 10.5055 Å; angles 80.15, 80.15, 60.00 degrees
Site moments in Bohr magnetons follow the coordinates.
Element x y z (fractional)
Np (0.0000, 0.0000, 0.0000)  4.57
Se (0.5000, 0.5000, 0.5000)  0.00
Er (0.1061, 0.1061, 0.6816)  0.10
Er (0.8939, 0.8939, 0.3184)  0.10

[14]
Pm2YTlO | PBE | relaxed

Results
- total DFT energy (no corrections) (eV per cell) = -30.1
- formation energy without anion corrections (eV/atom) = -1.358

Cell lengths 4.7934, 4.9542, 4.9542 Å; angles 90.00, 90.00, 90.00 degrees
Element x y z (fractional)
Pm (0.0000, 0.0000, 0.5000)
Pm (0.0000, 0.5000, 0.0000)
Y (0.5000, 0.0000, 0.0000)
Tl (0.5000, 0.5000, 0.5000)
O (0.0000, 0.0000, 0.0000)

[15]
Re2MoCl | PBE | relaxed

Results
- total DFT energy (no corrections) (eV per cell) = -34.1
- E above lowest polymorph (eV/atom) = 0.618
- formation energy without anion corrections (eV/atom) = 0.861

Cell lengths 2.8599, 4.5839, 4.6664 Å; angles 90.00, 90.00, 90.00 degrees
Element x y z (fractional)
Cl (0.5000, 0.0000, 0.5000)
Mo (0.0000, 0.5000, 0.5000)
Re (0.0000, 0.0000, 0.0000)
Re (0.5000, 0.5000, 0.0000)

[16]
Sr2LiAlNi | PBE | relaxed

Results
- total DFT energy (no corrections) (eV per cell) = -15.1
- calculated formation energy (eV/f.u.) = -0.27

Cell lengths 5.7696, 5.7696, 4.6583 Å; angles 90.00, 90.00, 90.00 degrees
Element x y z (fractional)
Sr (0.0000, 0.5000, 0.0000)
Sr (0.5000, 0.0000, 0.0000)
Li (0.5000, 0.5000, 0.5000)
Al (0.0000, 0.0000, 0.5000)
Ni (0.0000, 0.0000, 0.0000)

[17]
Ag6BiBr12 | PBE | relaxed

Results
- total DFT energy (no corrections) (eV per cell) = -47.8
- formation energy without anion corrections (eV/atom) = -0.353

Cell lengths 9.2897, 9.2897, 9.2897 Å; angles 74.45, 74.45, 74.45 degrees
Element x y z (fractional)
Ag (0.1135, 0.2961, 0.6008)
Ag (0.7039, 0.3992, 0.8865)
Ag (0.3992, 0.8865, 0.7039)
Ag (0.8865, 0.7039, 0.3992)
Ag (0.2961, 0.6008, 0.1135)
Ag (0.6008, 0.1135, 0.2961)
Bi (0.0000, 0.0000, 0.0000)
Br (0.4147, 0.1789, 0.5605)
Br (0.1789, 0.5605, 0.4147)
Br (0.5605, 0.4147, 0.1789)
Br (0.5853, 0.8211, 0.4395)
Br (0.8211, 0.4395, 0.5853)
Br (0.4395, 0.5853, 0.8211)
Br (0.0697, 0.0022, 0.6769)
Br (0.3231, 0.9303, 0.9978)
Br (0.9978, 0.3231, 0.9303)
Br (0.9303, 0.9978, 0.3231)
Br (0.6769, 0.0697, 0.0022)
Br (0.0022, 0.6769, 0.0697)

[18]
HgB3Pd | PBE | relaxed

Results
- total DFT energy (no corrections) (eV per cell) = -18.5
- E above lowest polymorph (eV/atom) = 0.000
- calculated formation energy (eV/f.u.) = 6.98

Cell lengths 4.2016, 4.2016, 4.2016 Å; angles 90.00, 90.00, 90.00 degrees
Element x y z (fractional)
B (0.0000, 0.5000, 0.0000)
B (0.0000, 0.0000, 0.5000)
B (0.5000, 0.0000, 0.0000)
Hg (0.5000, 0.5000, 0.5000)
Pd (0.0000, 0.0000, 0.0000)

[19]
HgTeAs2 | PBE | relaxed

Results
- total DFT energy (no corrections) (eV per cell) = -11.8
- E above lowest polymorph (eV/atom) = 0.139
- formation energy without anion corrections (eV/atom) = 0.227

Cell lengths 3.1479, 3.1479, 11.4965 Å; angles 90.00, 90.00, 90.00 degrees
Element x y z (fractional)
As (0.0000, 0.0000, 0.0697)
As (0.5000, 0.5000, 0.1921)
Te (0.5000, 0.5000, 0.7652)
Hg (0.0000, 0.0000, 0.4730)

[20]
LiPaCoRh | PBE | relaxed

Results
- total DFT energy (no corrections) (eV per cell) = -27.0
- calculated formation energy (eV/f.u.) = -1.15

Cell lengths 4.5190, 4.5190, 4.5190 Å; angles 60.00, 60.00, 60.00 degrees
Element x y z (fractional)
Co (0.0000, 0.0000, 0.0000)
Pa (0.7500, 0.7500, 0.7500)
Rh (0.5000, 0.5000, 0.5000)
Li (0.2500, 0.2500, 0.2500)